Entry 1:
{"formula": "LiTlTeAs", "functional": "GGA-PBE", "state": "optimized geometry", "lattice": [[4.526, 0.000, 0.000], [-1.130, 4.383, 0.000], [-1.251, -2.496, 5.938]], "species": ["Li", "Tl", "Te", "As"], "fractional_positions": [[0.000, 0.000, 0.000], [0.530, 0.904, 0.443], [0.587, 0.376, 0.963], [0.912, 0.451, 0.370]], "n_ef_per_ev_atom": 0.155, "e_above_lowest_polymorph_mev_per_atom": 10.8, "vol_a3_per_cell": 117.8, "raw_formation_energy_ev_per_atom": -0.252}

=====

Entry 2:
{"formula": "LiTlTeAs", "functional": "GGA-PBE", "state": "optimized geometry", "lattice": [[4.680, 0.000, 0.000], [0.000, 4.520, 0.000], [-0.054, 0.000, 5.671]], "species": ["Li", "Tl", "Te", "As"], "fractional_positions": [[0.000, 0.000, 0.000], [0.495, 0.000, 0.556], [0.992, 0.500, 0.295], [0.999, 0.500, 0.757]], "n_ef_per_ev_atom": 0.529, "e_above_lowest_polymorph_mev_per_atom": 76.5, "vol_a3_per_cell": 120.0, "raw_formation_energy_ev_per_atom": -0.187}

=====

Entry 3:
{"formula": "LiTlTeAs", "functional": "GGA-PBE", "state": "optimized geometry", "lattice": [[3.726, -2.724, 0.000], [3.726, 2.724, 0.000], [-1.020, 0.000, 5.678]], "species": ["Li", "Tl", "Te", "As"], "fractional_positions": [[0.000, 0.000, 0.000], [0.676, 0.676, 0.436], [0.369, 0.369, 0.945], [0.274, 0.274, 0.393]], "n_ef_per_ev_atom": 0.110, "e_above_lowest_polymorph_mev_per_atom": 0.0, "vol_a3_per_cell": 115.3, "raw_formation_energy_ev_per_atom": -0.263}

=====

Entry 4:
{"formula": "LiTlTeAs", "functional": "GGA-PBE", "state": "optimized geometry", "lattice": [[3.441, -2.631, 0.000], [3.441, 2.631, 0.000], [-2.059, 0.000, 5.782]], "species": ["Li", "Tl", "Te", "As"], "fractional_positions": [[0.000, 0.000, 0.000], [0.878, 0.878, 0.442], [0.543, 0.543, 0.828], [0.428, 0.428, 0.198]], "n_ef_per_ev_atom": 0.444, "e_above_lowest_polymorph_mev_per_atom": 20.1, "vol_a3_per_cell": 104.7, "raw_formation_energy_ev_per_atom": -0.243}

=====

Entry 5:
{"formula": "LiTlTeAs", "functional": "GGA-PBE", "state": "optimized geometry", "lattice": [[3.860, 0.000, 0.000], [0.000, 3.860, 0.000], [0.000, 0.000, 6.975]], "species": ["Li", "Tl", "Te", "As"], "fractional_positions": [[0.000, 0.000, 0.000], [0.000, 0.000, 0.547], [0.500, 0.500, 0.175], [0.500, 0.500, 0.806]], "n_ef_per_ev_atom": 0.284, "e_above_lowest_polymorph_mev_per_atom": 2.5, "vol_a3_per_cell": 103.9, "raw_formation_energy_ev_per_atom": -0.261}

=====

Entry 6:
{"formula": "LiTlTeAs", "functional": "GGA-PBE", "state": "optimized geometry", "lattice": [[4.049, 0.000, 0.000], [-1.939, 4.672, 0.000], [-0.006, -0.964, 6.036]], "species": ["Li", "Tl", "Te", "As"], "fractional_positions": [[0.000, 0.000, 0.000], [0.332, 0.690, 0.478], [0.685, 0.384, 0.866], [0.618, 0.246, 0.265]], "n_ef_per_ev_atom": 0.258, "e_above_lowest_polymorph_mev_per_atom": 5.6, "vol_a3_per_cell": 114.2, "raw_formation_energy_ev_per_atom": -0.258}

=====

Entry 7:
{"formula": "Li2YTeAs", "functional": "GGA-PBE", "state": "optimized geometry", "lattice": [[5.869, 0.000, 0.000], [0.000, 5.869, 0.000], [0.000, 0.000, 5.198]], "species": ["Li", "Li", "Y", "Te", "As"], "fractional_positions": [[0.000, 0.500, 0.000], [0.500, 0.000, 0.000], [0.000, 0.000, 0.000], [0.500, 0.500, 0.500], [0.000, 0.000, 0.500]], "n_ef_per_ev_atom": 1.030, "vol_a3_per_cell": 179.0, "raw_formation_energy_ev_per_atom": 0.506}

=====

Entry 8:
{"formula": "LiThAs", "functional": "GGA-PBE", "state": "optimized geometry", "lattice": [[4.201, 0.000, 0.000], [-2.100, 3.638, 0.000], [0.000, 0.000, 4.127]], "species": ["Li", "Th", "As"], "fractional_positions": [[0.000, 0.000, 0.000], [0.333, 0.667, 0.500], [0.667, 0.333, 0.000]], "n_ef_per_ev_atom": 0.124, "delta_e_f_ev_per_atom": -0.8838, "vol_a3_per_cell": 63.1}

=====

Entry 9:
{"formula": "LiTh2ZrAs4", "functional": "GGA-PBE", "state": "optimized geometry", "lattice": [[6.866, 0.000, 0.000], [0.000, 4.138, 0.000], [-2.470, 0.000, 6.795]], "species": ["Li", "Th", "Th", "Zr", "As", "As", "As", "As"], "fractional_positions": [[0.000, 0.000, 0.000], [0.500, 0.000, 0.500], [0.500, 0.500, 0.000], [0.000, 0.500, 0.500], [0.227, 0.000, 0.742], [0.230, 0.500, 0.248], [0.770, 0.500, 0.752], [0.773, 0.000, 0.258]], "n_ef_per_ev_atom": 0.228, "delta_e_f_ev_per_atom": -1.0981, "vol_a3_per_cell": 193.1}

=====

Entry 10:
{"formula": "Li3TiAs", "functional": "GGA-PBE", "state": "optimized geometry", "lattice": [[4.830, 0.000, 0.000], [0.000, 4.830, 0.000], [0.000, 0.000, 4.830]], "species": ["Li", "Li", "Li", "Ti", "As"], "fractional_positions": [[0.000, 0.000, 0.500], [0.000, 0.500, 0.000], [0.500, 0.000, 0.000], [0.000, 0.000, 0.000], [0.500, 0.500, 0.500]], "n_ef_per_ev_atom": 0.664, "delta_e_f_ev_per_atom": 0.9662, "e_above_lowest_polymorph_mev_per_atom": 637.7, "vol_a3_per_cell": 112.7}

=====

Entry 11:
{"formula": "LiTiAs2", "functional": "GGA-PBE", "state": "optimized geometry", "lattice": [[-2.624, 2.624, 6.985], [2.624, -2.624, 6.985], [2.624, 2.624, -6.985]], "species": ["Li", "Li", "Ti", "Ti", "As", "As", "As", "As"], "fractional_positions": [[0.000, 0.000, 0.000], [0.750, 0.250, 0.500], [0.250, 0.750, 0.500], [0.500, 0.500, 0.000], [0.160, 0.625, 0.035], [0.375, 0.410, 0.535], [0.590, 0.125, 0.965], [0.875, 0.840, 0.465]], "n_ef_per_ev_atom": 0.671, "delta_e_f_ev_per_atom": -0.1845, "e_above_lowest_polymorph_mev_per_atom": 436.5, "vol_a3_per_cell": 192.4}

=====

Entry 12:
{"formula": "LiTiAs2", "functional": "GGA-PBE", "state": "optimized geometry", "lattice": [[1.915, 1.106, 5.619], [-1.915, 1.106, 5.619], [0.000, -2.211, 5.619]], "species": ["Li", "Ti", "As", "As"], "fractional_positions": [[0.000, 0.000, 0.000], [0.824, 0.824, 0.824], [0.241, 0.241, 0.241], [0.409, 0.409, 0.409]], "n_ef_per_ev_atom": 0.374, "delta_e_f_ev_per_atom": -0.6210, "e_above_lowest_polymorph_mev_per_atom": 0.0, "vol_a3_per_cell": 71.4}